Version P
The following is a PBEsol calculation of a relaxed Li2YRh crystal, from Alexandria.

D(E_F): 0.390 states/eV/atom
Total magnetization: 0.00 μB per cell

Cell lengths 3.6648, 4.0675, 5.4280 Å; angles 112.00, 109.73, 90.00 degrees
Last column: nearest neighbours and their distance in Å.
Sites, in units of the cell vectors:
Li 0.7616 0.7616 0.5232  4 Li 2.75, 2 Rh 2.89, 4 Y 3.02-3.06
Rh 0.5000 0.0000 0.0000  4 Y 2.74, 4 Li 2.89
Y 0.0000 0.5000 0.0000  4 Rh 2.74, 8 Li 3.02-3.06
Li 0.2384 0.2384 0.4768  4 Li 2.75, 2 Rh 2.89, 4 Y 3.02-3.06

***

Version Q
The following is a PBEsol calculation of a relaxed Li2YRh crystal, from Alexandria.

D(E_F): 1.181 states/eV/atom
Total magnetization: 0.00 μB per cell

Cell lengths 2.9236, 2.9236, 9.9777 Å; angles 81.58, 81.58, 60.00 degrees
Last column: nearest neighbours and their distance in Å.
Sites, in units of the cell vectors:
Rh 0.5000 0.5000 0.5000  6 Li 2.60
Li 0.7664 0.7664 0.7007  3 Rh 2.60
Li 0.2336 0.2336 0.2993  3 Rh 2.60
Y 0.0000 0.0000 0.0000  6 Y 2.92

***

The most stable structure shown above is version P; the least stable is version Q.